Record 1
# Sr6ZnCd5, optimized geometry, DFT PBE
# Density of states at the Fermi level in states/eV/cell: 8.1
# Calculated total energy in eV per atom: -1.6325
# Space-group type: No. 12
# ΔH_f (0 K) in meV/atom: -304
# Crystal system: monoclinic
data_Sr6ZnCd5
_chemical_formula_sum 'Sr6 Zn1 Cd5'
_cell_length_a 5.7605
_cell_length_b 7.9159
_cell_length_c 9.9418
_cell_angle_alpha 113.46
_cell_angle_beta 107.02
_cell_angle_gamma 90.00
_symmetry_space_group_name_H-M 'P 1'
_symmetry_Int_Tables_number 1
loop_
_symmetry_equiv_pos_as_xyz
'x,y,z'
loop_
_atom_site_label
_atom_site_fract_x
_atom_site_fract_y
_atom_site_fract_z
_atom_site_occupancy
Cd1 0.6695 0.1692 0.3386 1
Cd2 0.0000 0.5000 0.0000 1
Cd3 0.6671 0.6670 0.3341 1
Sr1 0.5000 0.2452 0.0000 1
Sr2 0.5000 0.7548 0.0000 1
Cd4 0.3305 0.8308 0.6614 1
Sr3 0.1645 0.4119 0.3288 1
Sr4 0.8355 0.5881 0.6712 1
Zn1 0.0000 0.0000 0.0000 1
Sr5 0.8355 0.0831 0.6712 1
Cd5 0.3329 0.3330 0.6659 1
Sr6 0.1645 0.9169 0.3288 1

=====

Record 2
# Pd2PtW, optimized geometry, DFT PBE
# Density of states at the Fermi level in states/eV/cell: 8.1
# Calculated total energy in eV per atom: -6.8741
# Space-group type: No. 122
# ΔH_f (0 K) in meV/atom: 471
# Crystal system: tetragonal
# Distance to the lowest polymorph of the same formula in meV/atom: 618
data_Pd2PtW
_chemical_formula_sum 'Pd4 Pt2 W2'
_cell_length_a 7.1486
_cell_length_b 7.1486
_cell_length_c 5.7149
_cell_angle_alpha 51.29
_cell_angle_beta 51.29
_cell_angle_gamma 90.00
_symmetry_space_group_name_H-M 'P 1'
_symmetry_Int_Tables_number 1
loop_
_symmetry_equiv_pos_as_xyz
'x,y,z'
loop_
_atom_site_label
_atom_site_fract_x
_atom_site_fract_y
_atom_site_fract_z
_atom_site_occupancy
W1 0.5000 0.5000 0.0000 1
Pt1 0.0000 0.0000 0.0000 1
Pd1 0.6069 0.1250 0.2500 1
Pd2 0.8750 0.8569 0.7500 1
Pd3 0.3750 0.3931 0.7500 1
W2 0.2500 0.7500 0.5000 1
Pt2 0.7500 0.2500 0.5000 1
Pd4 0.1431 0.6250 0.2500 1